Record 1
Be3CuSn | GGA-PBE | relaxed

a = 4.1759 Å, b = 4.1759 Å, c = 4.1759 Å
α = 90.00°, β = 90.00°, γ = 90.00°
Closest atoms and distances in Å follow each position.
Atoms (fractional coordinates):
Be 0.0000 0.5000 0.0000  2 Cu 2.09
Be 0.0000 0.0000 0.5000  2 Cu 2.09
Cu 0.0000 0.0000 0.0000  6 Be 2.09
Sn 0.5000 0.5000 0.5000  12 Be 2.95
Be 0.5000 0.0000 0.0000  2 Cu 2.09

Values from the calculation:
electronic total energy	-3.282	eV/atom
SG	No. 221

---

Record 2
Be2CuSn | GGA-PBE | relaxed

a = 4.0415 Å, b = 4.0415 Å, c = 8.2133 Å
α = 75.76°, β = 75.76°, γ = 90.00°
Closest atoms and distances in Å follow each position.
Atoms (fractional coordinates):
Sn 0.7500 0.2500 0.5000  4 Cu 2.86, 8 Be 2.93-3.01
Sn 0.0000 0.0000 0.0000  4 Cu 2.86, 8 Be 2.93-3.01
Be 0.3603 0.6250 0.2500  2 Be 2.02, 2 Cu 2.17
Be 0.3897 0.1250 0.2500  2 Be 2.02, 2 Cu 2.17
Be 0.8750 0.6397 0.7500  2 Be 2.02, 2 Cu 2.17
Cu 0.5000 0.5000 0.0000  4 Be 2.17
Cu 0.2500 0.7500 0.5000  4 Be 2.17
Be 0.3750 0.6103 0.7500  2 Be 2.02, 2 Cu 2.17

Values from the calculation:
electronic total energy	-3.478	eV/atom
SG	No. 122

---

Record 3
TiBe2CuSn | GGA-PBE | relaxed

a = 4.0919 Å, b = 4.8816 Å, c = 4.0919 Å
α = 90.00°, β = 90.00°, γ = 90.00°
Closest atoms and distances in Å follow each position.
Atoms (fractional coordinates):
Be 0.5000 0.0000 0.0000  2 Cu 2.05
Cu 0.0000 0.0000 0.0000  4 Be 2.05
Sn 0.0000 0.5000 0.0000  2 Cu 2.44
Be 0.0000 0.0000 0.5000  2 Cu 2.05
Ti 0.5000 0.5000 0.5000  4 Sn 2.89, 8 Be 3.18

Values from the calculation:
electronic total energy	-4.130	eV/atom
SG	No. 123

---

Record 4
TiBe2CuSn | GGA-PBE | relaxed

a = 4.1166 Å, b = 4.7213 Å, c = 4.1166 Å
α = 90.00°, β = 90.00°, γ = 90.00°
Closest atoms and distances in Å follow each position.
Atoms (fractional coordinates):
Ti 0.0000 0.5000 0.0000  2 Cu 2.36
Be 0.5000 0.0000 0.0000  2 Cu 2.06
Cu 0.0000 0.0000 0.0000  4 Be 2.06
Be 0.0000 0.0000 0.5000  2 Cu 2.06
Sn 0.5000 0.5000 0.5000  4 Ti 2.91, 8 Be 3.13

Values from the calculation:
electronic total energy	-4.308	eV/atom
SG	No. 123

---

| no. | energy relative to the elements (meV per atom) |
| --- | --- |
| 1 | 573 |
| 2 | 410 |
| 3 | 559 |
| 4 | 381 |